A plane-wave DFT calculation with PBE-GGA was carried out for a geometry-optimized Co2SiSn structure.

```
Co2SiSn
1.0
0.000 2.988 2.988
2.988 0.000 2.988
2.988 2.988 0.000
Co Si Sn
2 1 1
Direct
0.250 0.250 0.250
0.750 0.750 0.750
0.000 0.000 0.000
0.500 0.500 0.500
```

Values from the calculation:
Volume   13.345 A^3/atom
ΔE to the lowest computed polymorph   0 meV/atom


A plane-wave DFT calculation with PBE-GGA was carried out for a geometry-optimized CoSi2Sn structure.

```
CoSi2Sn
1.0
-2.190 2.190 7.498
2.190 -2.190 7.498
2.190 2.190 -7.498
Co Si Sn
2 4 2
Direct
0.000 0.000 0.000
0.750 0.250 0.500
0.011 0.625 0.886
0.375 0.261 0.386
0.739 0.125 0.114
0.875 0.989 0.614
0.250 0.750 0.500
0.500 0.500 0.000
```

Values from the calculation:
VASP energy   -5.342 eV per atom
Volume   17.975 A^3/atom


A plane-wave DFT calculation with PBE-GGA was carried out for a geometry-optimized Co2SiSn structure.

```
Co2SiSn
1.0
-2.699 2.699 5.344
2.699 -2.699 5.344
2.699 2.699 -5.344
Co Si Sn
4 2 2
Direct
0.073 0.625 0.948
0.375 0.323 0.448
0.677 0.125 0.052
0.875 0.927 0.552
0.000 0.000 0.000
0.750 0.250 0.500
0.250 0.750 0.500
0.500 0.500 0.000
```

Values from the calculation:
Volume   19.463 A^3/atom
ΔE to the lowest computed polymorph   497 meV/atom


A plane-wave DFT calculation with PBE-GGA was carried out for a geometry-optimized Sr2CoSi structure.

```
Sr2CoSi
1.0
3.364 0.000 0.000
0.000 3.364 0.000
0.000 0.000 8.989
Sr Co Si
2 1 1
Direct
0.000 0.000 0.000
0.500 0.500 0.413
0.000 0.000 0.667
0.500 0.500 0.753
```

Values from the calculation:
VASP energy   -3.886 eV per atom
Volume   25.427 A^3/atom


A plane-wave DFT calculation with PBE-GGA was carried out for a geometry-optimized Sr2CoSi2 structure.

```
Sr2CoSi2
1.0
-3.091 3.091 3.339
3.091 -3.091 3.339
3.091 3.091 -3.339
Sr Co Si
2 1 2
Direct
0.250 0.750 0.500
0.750 0.250 0.500
0.000 0.000 0.000
0.330 0.330 0.000
0.670 0.670 0.000
```

Values from the calculation:
VASP energy   -4.171 eV per atom
Volume   25.523 A^3/atom


A plane-wave DFT calculation with PBE-GGA was carried out for a geometry-optimized SrCo4Si structure.

```
SrCo4Si
1.0
0.000 3.519 3.519
3.519 0.000 3.519
3.519 3.519 0.000
Sr Co Si
1 4 1
Direct
0.000 0.000 0.000
0.131 0.623 0.623
0.623 0.131 0.623
0.623 0.623 0.131
0.623 0.623 0.623
0.250 0.250 0.250
```

Values from the calculation:
VASP energy   -5.605 eV per atom
Volume   14.523 A^3/atom


A plane-wave DFT calculation with PBE-GGA was carried out for a geometry-optimized Sr4CoSi structure.

```
Sr4CoSi
1.0
0.000 4.744 4.744
4.744 0.000 4.744
4.744 4.744 0.000
Sr Co Si
4 1 1
Direct
0.125 0.125 0.125
0.125 0.125 0.624
0.125 0.624 0.125
0.624 0.125 0.125
0.750 0.750 0.750
0.500 0.500 0.500
```

Values from the calculation:
VASP energy   -2.176 eV per atom
Volume   35.581 A^3/atom


A plane-wave DFT calculation with PBE-GGA was carried out for a geometry-optimized SrCoSi structure.

```
SrCoSi
1.0
0.000 3.449 3.449
3.449 0.000 3.449
3.449 3.449 0.000
Sr Co Si
1 1 1
Direct
0.000 0.000 0.000
0.250 0.250 0.250
0.750 0.750 0.750
```

Values from the calculation:
VASP energy   -3.533 eV per atom
Volume   27.363 A^3/atom


A plane-wave DFT calculation with PBE-GGA was carried out for a geometry-optimized Sr2CoSi2 structure.

```
Sr2CoSi2
1.0
-1.798 1.798 9.366
1.798 -1.798 9.366
1.798 1.798 -9.366
Sr Co Si
2 1 2
Direct
0.100 0.100 0.000
0.900 0.900 0.000
0.500 0.500 0.000
0.250 0.750 0.500
0.750 0.250 0.500
```

Values from the calculation:
VASP energy   -3.969 eV per atom
Volume   24.217 A^3/atom


A plane-wave DFT calculation with PBE-GGA was carried out for a geometry-optimized SrCo9Si4 structure.

```
SrCo9Si4
1.0
-3.882 3.882 5.766
3.882 -3.882 5.766
3.882 3.882 -5.766
Sr Co Si
2 18 8
Direct
0.250 0.250 0.000
0.750 0.750 0.000
0.000 0.500 0.500
0.051 0.551 0.244
0.069 0.801 0.870
0.193 0.949 0.500
0.199 0.069 0.268
0.301 0.569 0.870
0.307 0.807 0.756
0.431 0.301 0.732
0.449 0.693 0.500
0.500 0.000 0.500
0.551 0.307 0.500
0.569 0.699 0.268
0.693 0.193 0.244
0.699 0.431 0.130
0.801 0.931 0.732
0.807 0.051 0.500
0.931 0.199 0.130
0.949 0.449 0.756
0.047 0.209 0.500
0.209 0.709 0.163
0.291 0.453 0.500
0.453 0.953 0.163
0.547 0.047 0.837
0.709 0.547 0.500
0.791 0.291 0.837
0.953 0.791 0.500
```

Values from the calculation:
VASP energy   -6.623 eV per atom
Volume   12.413 A^3/atom


A plane-wave DFT calculation with PBE-GGA was carried out for a geometry-optimized Sr2CoSi2 structure.

```
Sr2CoSi2
1.0
6.688 0.000 0.000
0.000 6.688 0.000
0.000 0.000 4.945
Sr Co Si
4 2 4
Direct
0.173 0.327 0.000
0.327 0.827 0.000
0.673 0.173 0.000
0.827 0.673 0.000
0.000 0.000 0.500
0.500 0.500 0.500
0.137 0.637 0.500
0.363 0.137 0.500
0.637 0.863 0.500
0.863 0.363 0.500
```

Values from the calculation:
VASP energy   -4.343 eV per atom
Volume   22.123 A^3/atom


A plane-wave DFT calculation with PBE-GGA was carried out for a geometry-optimized Sr2CoSi structure.

```
Sr2CoSi
1.0
3.531 -2.037 0.000
3.531 2.037 0.000
-2.315 0.000 8.283
Sr Co Si
2 1 1
Direct
0.000 0.000 0.000
0.168 0.168 0.515
0.751 0.751 0.258
0.417 0.417 0.257
```

Values from the calculation:
VASP energy   -4.224 eV per atom
Volume   29.793 A^3/atom


volume of number 3 (Co2SiSn)? 19.463 A^3/atom


Among the records above, which one has the highest volume? Sr4CoSi


Copy entry 4 word for word.
A plane-wave DFT calculation with PBE-GGA was carried out for a geometry-optimized Sr2CoSi structure.

```
Sr2CoSi
1.0
3.364 0.000 0.000
0.000 3.364 0.000
0.000 0.000 8.989
Sr Co Si
2 1 1
Direct
0.000 0.000 0.000
0.500 0.500 0.413
0.000 0.000 0.667
0.500 0.500 0.753
```

Values from the calculation:
VASP energy   -3.886 eV per atom
Volume   25.427 A^3/atom